Density functional theory data (PBE) for a geometry-optimized Pm3Pr3Nd2 structure.

Cell and atoms, written as POSCAR:
```
Pm3Pr3Nd2
1.0
16.6631 0.0000 0.0000
0.0000 5.9607 0.0000
-2.2658 0.0000 5.7170
Pm Pr Nd
6 6 4
direct
0.0000 0.0000 0.0000
0.1317 0.0000 0.5792
0.3683 0.5000 0.4208
0.5000 0.5000 0.0000
0.6317 0.5000 0.5792
0.8683 0.0000 0.4208
0.0000 0.5000 0.5000
0.1331 0.5000 0.1867
0.3669 0.0000 0.8133
0.5000 0.0000 0.5000
0.6331 0.0000 0.1867
0.8669 0.5000 0.8133
0.2497 0.0000 0.1831
0.2503 0.5000 0.8169
0.7503 0.0000 0.8169
0.7497 0.5000 0.1831
```

As for the energy above the most stable polymorph in this dataset: 0.045 eV per atom. The symmetry is C2/m (12). For the formation energy, the calculation gives 0.63 eV/f.u. Its raw total energy is -75.0 eV for the cell shown.